Arrangement P

The following is a PBE calculation of a geometry-optimized Pr4Nd3Er2 structure, from the Alexandria database.

Unit cell a=6.324 b=6.328 c=9.681 alpha=89.99 beta=71.07 gamma=60.06
Space group P-1 (No. 2)
Symmetry-distinct sites (fractional):
Pr (0.112, 0.112, 0.335) (multiplicity 2)
Pr (0.330, 0.335, 0.000) (multiplicity 2)
Nd (0.000, 0.000, 0.000) (multiplicity 1)
Nd (0.445, 0.444, 0.335) (multiplicity 2)
Er (0.225, 0.220, 0.664) (multiplicity 2)



Arrangement Q

The following is a PBE calculation of a geometry-optimized Pr4Nd3Er2 structure, from the Alexandria database.

Unit cell a=3.6493 b=3.6493 c=27.3244 alpha=90.00 beta=90.00 gamma=120.00
Space group P3m1 (No. 156)
Symmetry-distinct sites (fractional):
Pr (0.0000, 0.0000, 0.0000) (multiplicity 1)
Pr (0.0000, 0.0000, 0.2220) (multiplicity 1)
Pr (0.3333, 0.6667, 0.3344) (multiplicity 1)
Pr (0.3333, 0.6667, 0.5591) (multiplicity 1)
Nd (0.0000, 0.0000, 0.4459) (multiplicity 1)
Nd (0.3333, 0.6667, 0.1086) (multiplicity 1)
Nd (0.3333, 0.6667, 0.7721) (multiplicity 1)
Er (0.0000, 0.0000, 0.6644) (multiplicity 1)
Er (0.0000, 0.0000, 0.8753) (multiplicity 1)



The most stable arrangement is arrangement P, and the next structure is 5.4 kJ/mol of atoms less stable.